Record 1
# NaMg2H2, relaxed, DFT PBE
data_NaMg2H2
_chemical_formula_sum 'Na2 Mg4 H4'
_cell_length_a 6.3976
_cell_length_b 6.3976
_cell_length_c 4.1449
_cell_angle_alpha 90.00
_cell_angle_beta 90.00
_cell_angle_gamma 90.00
_symmetry_space_group_name_H-M 'P 4/m b m'
_symmetry_Int_Tables_number 127
_symmetry_space_group_name_Hall '-P 4 2ab'
loop_
_atom_site_label
_atom_site_fract_x
_atom_site_fract_y
_atom_site_fract_z
Na1 0.0000 0.0000 0.0000
Mg1 0.1739 0.3261 0.5000
H1 0.1977 0.3023 0.0000
# Calculated volume   16.97 A^3/atom
# ρ   1.4 g/cm3
# Excess energy over the best structure of this formula in the dataset   0.000 eV/atom

---

Record 2
# Na3Mg5H12, relaxed, DFT PBE
data_Na3Mg5H12
_chemical_formula_sum 'Na24 Mg40 H96'
_cell_length_a 12.4214
_cell_length_b 12.4214
_cell_length_c 12.4214
_cell_angle_alpha 90.00
_cell_angle_beta 90.00
_cell_angle_gamma 90.00
_symmetry_space_group_name_H-M 'I a -3 d'
_symmetry_Int_Tables_number 230
_symmetry_space_group_name_Hall '-I 4bd 2c 3'
loop_
_atom_site_label
_atom_site_fract_x
_atom_site_fract_y
_atom_site_fract_z
Na1 0.0000 0.2500 0.1250
Mg1 0.0000 0.0000 0.0000
Mg2 0.0000 0.2500 0.3750
H1 0.0298 0.0529 0.6471
# Calculated volume   11.98 A^3/atom
# ρ   1.4 g/cm3
# Total energy   -2.74 eV per atom

---

Record 3
# NaMg3H, relaxed, DFT PBE
data_NaMg3H
_chemical_formula_sum 'Na1 Mg3 H1'
_cell_length_a 4.6563
_cell_length_b 4.6563
_cell_length_c 4.6563
_cell_angle_alpha 90.00
_cell_angle_beta 90.00
_cell_angle_gamma 90.00
_symmetry_space_group_name_H-M 'P m -3 m'
_symmetry_Int_Tables_number 221
_symmetry_space_group_name_Hall '-P 4 2 3'
loop_
_atom_site_label
_atom_site_fract_x
_atom_site_fract_y
_atom_site_fract_z
Na1 0.0000 0.0000 0.0000
Mg1 0.0000 0.5000 0.5000
H1 0.5000 0.5000 0.5000
# Calculated volume   20.19 A^3/atom
# ρ   1.6 g/cm3
# Total energy   -1.74 eV per atom